Tm2Pd8Pt: relaxed, PBE-GGA.

* DOS at the Fermi energy: 12.8 states/eV/cell
* ΔE to the lowest computed polymorph: 0.00 eV/f.u.
* uncorrected energy: -5.71 eV per atom
* crystal system: monoclinic

Unit cell a=8.031 b=10.688 c=4.914 alpha=90.00 beta=114.93 gamma=90.00
Space group C2/m (No. 12)
Unique sites:
Tm1 0.000 0.227 0.000 (multiplicity 4)
Pd1 0.000 0.366 0.500 (multiplicity 4)
Pd2 0.189 0.133 0.610 (multiplicity 8)
Pd3 0.192 0.000 0.097 (multiplicity 4)
Pt1 0.000 0.500 0.000 (multiplicity 2)

---

TmPd3Pt: relaxed, PBE-GGA.

* DOS at the Fermi energy: 8.7 states/eV/cell
* ΔE to the lowest computed polymorph: 0.08 eV/f.u.
* uncorrected energy: -5.81 eV per atom
* crystal system: cubic

Unit cell a=7.064 b=7.064 c=7.064 alpha=90.00 beta=90.00 gamma=90.00
Space group P2_13 (No. 198)
Unique sites:
Tm1 0.197 0.197 0.197 (multiplicity 4)
Pd1 0.057 0.125 0.802 (multiplicity 12)
Pt1 0.048 0.952 0.452 (multiplicity 4)

---

Tm6Pd12Pt: relaxed, PBE-GGA.

* DOS at the Fermi energy: 27.7 states/eV/cell
* uncorrected energy: -5.81 eV per atom
* crystal system: trigonal

Unit cell a=10.4384 b=10.4384 c=11.4593 alpha=90.00 beta=90.00 gamma=120.00
Space group R-3 (No. 148, hexagonal axes)
Unique sites:
Tm1 0.0158 0.5881 0.2358 (multiplicity 18)
Pd1 0.0541 0.8683 0.3189 (multiplicity 18)
Pd2 0.0571 0.1829 0.8968 (multiplicity 18)
Pt1 0.0000 0.0000 0.5000 (multiplicity 3)

---

Tm2Pd5Pt: relaxed, PBE-GGA.

* DOS at the Fermi energy: 14.8 states/eV/cell
* uncorrected energy: -6.07 eV per atom
* crystal system: orthorhombic

Unit cell a=5.779 b=11.564 c=4.101 alpha=90.00 beta=90.00 gamma=90.00
Space group Pbam (No. 55)
Unique sites:
Tm1 0.250 0.125 0.000 (multiplicity 4)
Pd1 0.000 0.000 0.500 (multiplicity 2)
Pd2 0.002 0.750 0.500 (multiplicity 4)
Pd3 0.248 0.375 0.000 (multiplicity 4)
Pt1 0.000 0.500 0.500 (multiplicity 2)

---

Tm6Pd2Pt: relaxed, PBE-GGA.

* DOS at the Fermi energy: 32.8 states/eV/cell
* uncorrected energy: -5.52 eV per atom
* crystal system: orthorhombic

Unit cell a=9.408 b=9.446 c=9.746 alpha=90.00 beta=90.00 gamma=90.00
Space group Immm (No. 71)
Unique sites:
Tm1 0.000 0.186 0.249 (multiplicity 8)
Tm2 0.207 0.500 0.332 (multiplicity 8)
Tm3 0.232 0.325 0.000 (multiplicity 8)
Pd1 0.000 0.342 0.500 (multiplicity 4)
Pd2 0.000 0.500 0.135 (multiplicity 4)
Pt1 0.000 0.000 0.000 (multiplicity 2)
Pt2 0.000 0.000 0.500 (multiplicity 2)

---

Tm12Pd5Pt2: relaxed, PBE-GGA.

* DOS at the Fermi energy: 35.1 states/eV/cell
* uncorrected energy: -5.51 eV per atom
* crystal system: monoclinic

Unit cell a=15.800 b=7.301 c=8.939 alpha=90.00 beta=104.31 gamma=90.00
Space group C2/m (No. 12)
Unique sites:
Tm1 0.002 0.000 0.266 (multiplicity 4)
Tm2 0.024 0.500 0.813 (multiplicity 4)
Tm3 0.146 0.251 0.562 (multiplicity 8)
Tm4 0.176 0.238 0.109 (multiplicity 8)
Pd1 0.000 0.500 0.500 (multiplicity 2)
Pd2 0.184 0.000 0.840 (multiplicity 4)
Pd3 0.205 0.000 0.365 (multiplicity 4)
Pt1 0.000 0.210 0.000 (multiplicity 4)